First-principles (PBE) data for a relaxed structure of Pu2GeTe6, as listed in Alexandria.

CIF file:
```
data_Pu2GeTe6
_space_group_name_H-M_alt 'P 1'
_space_group_IT_number 1
_space_group_name_Hall 'P 1'
_cell_length_a 7.005
_cell_length_b 7.005
_cell_length_c 13.415
_cell_angle_alpha 90.00
_cell_angle_beta 90.00
_cell_angle_gamma 90.00
loop_
_atom_site_label
_atom_site_fract_x
_atom_site_fract_y
_atom_site_fract_z
Pu1 0.000 0.000 0.335
Pu2 0.500 0.500 0.835
Pu3 0.500 0.500 0.165
Pu4 0.000 0.000 0.665
Ge1 0.000 0.000 0.000
Ge2 0.500 0.500 0.500
Te1 0.303 0.303 0.336
Te2 0.697 0.697 0.336
Te3 0.197 0.803 0.836
Te4 0.803 0.197 0.836
Te5 0.197 0.803 0.164
Te6 0.803 0.197 0.164
Te7 0.303 0.303 0.664
Te8 0.697 0.697 0.664
Te9 0.295 0.295 0.000
Te10 0.705 0.705 0.000
Te11 0.205 0.795 0.500
Te12 0.795 0.205 0.500
```

SG: No. 136
D(E_F): 54.2 states/eV/cell
calculated density: 6.69 Mg/m³
formation energy from raw total energies: -0.345 eV/atom